The following is a DFT calculation (PBE-GGA) of a relaxed CaHoTm crystal.

Lattice parameters (Å, degrees): 3.577 3.577 9.062 90.00 90.00 120.00
Last column: magnetic moment on the atom in μB.
Atoms (fractional coordinates):
Ca: 0.000 0.000 0.001  0.00
Tm: 0.667 0.333 0.348  0.06
Ho: 0.333 0.667 0.650  0.06

For the excess energy over the best structure of this formula in the dataset, the calculation gives 0.017 eV/atom. The energy of formation from the pure elements comes out at 27 kJ/mol of formula units. As for the space group: P3m1 (156).

The following is a DFT calculation (PBE-GGA) of a relaxed LiTc3 crystal.

Lattice parameters (Å, degrees): 2.691 4.015 5.142 90.00 90.00 90.00
Atoms (fractional coordinates):
Li: 0.000 0.000 0.000
Tc: 0.500 0.500 0.760
Tc: 0.000 0.000 0.500
Tc: 0.500 0.500 0.240

For the excess energy over the best structure of this formula in the dataset, the calculation gives 0.085 eV/atom. The energy of formation from the pure elements comes out at 90 kJ/mol of formula units. As for the space group: Pmmm (47).

The following is a DFT calculation (PBE-GGA) of a relaxed HfTcSbI2 crystal.

Lattice parameters (Å, degrees): 5.962 5.622 5.962 90.00 90.00 90.00
Last column: magnetic moment on the atom in μB.
Atoms (fractional coordinates):
I: 0.000 0.000 0.500  0.03
I: 0.500 0.000 0.000  0.05
Sb: 0.000 0.000 0.000  0.02
Hf: 0.000 0.500 0.000  -0.85
Tc: 0.500 0.500 0.500  3.85

For the excess energy over the best structure of this formula in the dataset, the calculation gives 0.679 eV/atom. As for the space group: P4/mmm (123). The calculation puts the formation energy without anion corrections at 1574 meV per atom.

The following is a DFT calculation (PBE-GGA) of a relaxed LaTiCu crystal.

Lattice parameters (Å, degrees): 5.661 5.659 5.524 60.75 60.77 91.08
Atoms (fractional coordinates):
Ti: 0.637 0.728 0.774
Ti: 0.565 0.799 0.274
Cu: 0.101 0.764 0.750
Cu: 0.601 0.264 0.250
La: 0.979 0.385 0.463
La: 0.223 0.142 0.963

For the excess energy over the best structure of this formula in the dataset, the calculation gives 0.055 eV/atom. The energy of formation from the pure elements comes out at 20 kJ/mol of formula units. As for the space group: Ima2 (46).

The following is a DFT calculation (PBE-GGA) of a relaxed SnMo2C crystal.

Lattice parameters (Å, degrees): 5.215 5.215 6.740 67.24 67.24 90.00
Atoms (fractional coordinates):
C: 0.500 0.500 0.000
C: 0.250 0.750 0.500
Mo: 0.479 0.125 0.250
Mo: 0.271 0.625 0.250
Mo: 0.375 0.521 0.750
Mo: 0.875 0.729 0.750
Sn: 0.000 0.000 0.000
Sn: 0.750 0.250 0.500

For the excess energy over the best structure of this formula in the dataset, the calculation gives 0.832 eV/atom. The energy of formation from the pure elements comes out at 321 kJ/mol of formula units. As for the space group: I-42d (122).

The following is a DFT calculation (PBE-GGA) of a relaxed PmGa2PdRu crystal.

Lattice parameters (Å, degrees): 4.293 4.293 5.933 111.21 111.21 90.00
Atoms (fractional coordinates):
Pm: 0.000 0.000 0.000
Ga: 0.626 0.626 0.251
Ga: 0.374 0.374 0.749
Pd: 0.750 0.250 0.500
Ru: 0.250 0.750 0.500

The energy of formation from the pure elements comes out at -304 kJ/mol of formula units. As for the space group: I-4m2 (119).

no.,E (eV per formula unit)
1,-10.8
2,-32.1
3,-19.7
4,-16.7
5,-31.6
6,-28.4